Entry 1:
VASP calculation (PBE-GGA) on a relaxed LiLaMnN2 crystal.

Lattice parameters (Å, degrees): 3.921 3.921 4.681 90.00 90.00 90.00
Fractional positions:
Li 0.000 0.000 0.000
La 0.500 0.500 0.000
Mn 0.500 0.500 0.500
N 0.000 0.500 0.500
N 0.500 0.000 0.500

The formation energy from raw total energies comes out at 695 meV/atom. The calculation puts the total DFT energy (no corrections) at -0.21453 hartree per atom. Its offset from the most stable computed form is 1306 meV/atom.



Entry 2:
VASP calculation (PBE-GGA) on a relaxed ReTc2B crystal.

Lattice parameters (Å, degrees): 5.559 2.899 6.444 90.00 102.36 90.00
Fractional positions:
Re 0.064 0.250 0.341
Re 0.936 0.750 0.659
Tc 0.259 0.250 0.966
Tc 0.397 0.750 0.640
Tc 0.603 0.250 0.360
Tc 0.741 0.750 0.034
B 0.312 0.750 0.234
B 0.688 0.250 0.766

The calculation puts the total DFT energy (no corrections) at -0.37166 hartree per atom. The calculation puts the formation enthalpy at 0 K at -0.15 eV/atom.



Entry 3:
VASP calculation (PBE-GGA) on a relaxed NaGa2RuO8 crystal.

Lattice parameters (Å, degrees): 4.274 6.300 4.890 90.00 90.19 90.00
Fractional positions:
Na 0.000 0.000 0.000
Ga 0.500 0.256 0.500
Ga 0.500 0.744 0.500
Ru 0.000 0.500 0.000
O 0.237 0.000 0.446
O 0.254 0.500 0.341
O 0.257 0.293 0.853
O 0.257 0.707 0.853
O 0.743 0.293 0.147
O 0.743 0.707 0.147
O 0.746 0.500 0.659
O 0.763 0.000 0.554

The formation energy from raw total energies comes out at -1000 meV/atom. The calculation puts the total DFT energy (no corrections) at -0.20922 hartree per atom.



Entry 4:
VASP calculation (PBE-GGA) on a relaxed Zn2GeAu7 crystal.

Lattice parameters (Å, degrees): 7.529 7.529 4.509 90.00 90.00 120.24
Fractional positions:
Zn 0.200 0.800 0.000
Zn 0.800 0.200 0.000
Ge 0.500 0.500 0.500
Au 0.000 0.000 0.000
Au 0.200 0.424 0.000
Au 0.297 0.703 0.500
Au 0.424 0.200 0.000
Au 0.576 0.800 0.000
Au 0.703 0.297 0.500
Au 0.800 0.576 0.000

The calculation puts the total DFT energy (no corrections) at -0.10662 hartree per atom. The calculation puts the formation enthalpy at 0 K at 0.11 eV/atom.



Entry 5:
VASP calculation (PBE-GGA) on a relaxed Na2Sr2GaGe4 crystal.

Lattice parameters (Å, degrees): 6.811 6.811 6.811 120.36 120.36 89.37
Fractional positions:
Na 0.210 0.210 0.000
Na 0.790 0.790 0.000
Sr 0.250 0.750 0.500
Sr 0.750 0.250 0.500
Ga 0.500 0.500 0.000
Ge 0.227 0.227 0.455
Ge 0.227 0.773 0.000
Ge 0.773 0.227 0.000
Ge 0.773 0.773 0.545

The calculation puts the total DFT energy (no corrections) at -0.11926 hartree per atom. The calculation puts the formation enthalpy at 0 K at -0.19 eV/atom.



Entry 6:
VASP calculation (PBE-GGA) on a relaxed Dy2CuN crystal.

Lattice parameters (Å, degrees): 3.382 3.382 24.914 90.00 90.00 120.00
Fractional positions:
Dy 0.000 0.000 0.113
Dy 0.000 0.000 0.887
Dy 0.333 0.667 0.554
Dy 0.333 0.667 0.779
Dy 0.667 0.333 0.221
Dy 0.667 0.333 0.446
Cu 0.000 0.000 0.000
Cu 0.333 0.667 0.667
Cu 0.667 0.333 0.333
N 0.000 0.000 0.500
N 0.333 0.667 0.167
N 0.667 0.333 0.833

The formation energy from raw total energies comes out at -420 meV/atom. The calculation puts the total DFT energy (no corrections) at -0.21412 hartree per atom.